Computed, not measured: an optimized crystal structure of Fe3BRh2 at the PBE level of DFT.

Summary:
D(E_F)   4.7 states/eV/f.u.
ΔE_f   -0.03 eV per atom
Uncorrected energy   -7.83 eV/atom
Total moment   9.07 μB/cell
V   12.0 A^3/atom

a b c (Å): 6.3282 6.3282 2.7885
angles (deg): 90.00 90.00 139.69
Closest atoms and distances in Å follow each position.
Atoms (fractional coordinates):
Fe: 0.0000 0.0000 0.0000  6 Fe 2.50-2.79, 4 B 2.59, 4 Rh 2.70
Fe: 0.1752 0.8248 0.5000  4 Fe 2.50-2.79, 6 Rh 2.63-2.67
Fe: 0.8248 0.1752 0.5000  4 Fe 2.50-2.79, 6 Rh 2.63-2.67
B: 0.5000 0.5000 0.5000  4 Rh 2.11
Rh: 0.3663 0.6337 0.0000  2 B 2.11
Rh: 0.6337 0.3663 0.0000  2 B 2.11